Compound: SrAg2AuF
Source: Alexandria
Functional: PBE
Structure: optimized geometry

Unit cell a=4.8875 b=4.8875 c=4.6831 alpha=90.00 beta=90.00 gamma=90.00
With the nearest neighbours (Å) after each atom.
Atoms (fractional coordinates):
Sr (0.0000, 0.0000, 0.0000)  2 F 2.34
Ag (0.0000, 0.5000, 0.5000)  2 F 2.44
Ag (0.5000, 0.0000, 0.5000)  2 F 2.44
Au (0.5000, 0.5000, 0.0000)  8 Ag 3.38, 4 Sr 3.46
F (0.0000, 0.0000, 0.5000)  2 Sr 2.34, 4 Ag 2.44

## Properties
ΔE_f (raw) = -708 meV/atom
Spin magnetization = 0.00 μB per atom